# 1
Entry from the Alexandria database: Ba2ZrOs after structural relaxation (GGA-PBE).

Values from the calculation:
Polymorph energy (0 for the lowest one) (meV/atom): 860
M_tot (Bohr magnetons per cell): 0.7
E_form (meV/atom): 1065

Structure (CIF):
```
data_Ba2ZrOs
_chemical_formula_sum 'Ba4 Zr2 Os2'
_space_group_name_H-M_alt 'C 1 2/m 1'
_space_group_IT_number 12
_space_group_name_Hall '-C 2y'
_cell_length_a 6.119
_cell_length_b 10.946
_cell_length_c 3.315
_cell_angle_alpha 90.00
_cell_angle_beta 90.28
_cell_angle_gamma 90.00
loop_
_atom_site_label
_atom_site_fract_x
_atom_site_fract_y
_atom_site_fract_z
Ba1 0.250 0.250 0.000
Zr1 0.000 0.000 0.500
Os1 0.000 0.500 0.500
```



# 2
Entry from the Alexandria database: MgCu2Cl after structural relaxation (GGA-PBE).

Values from the calculation:
Polymorph energy (0 for the lowest one) (meV/atom): 159
M_tot (Bohr magnetons per cell): 0.0
ΔE_f (raw) (eV per formula unit): -0.43

Structure (CIF):
```
data_MgCu2Cl
_chemical_formula_sum 'Mg1 Cu2 Cl1'
_space_group_name_H-M_alt 'P 1 2/m 1'
_space_group_IT_number 10
_space_group_name_Hall '-P 2y'
_cell_length_a 4.036
_cell_length_b 3.121
_cell_length_c 5.547
_cell_angle_alpha 90.00
_cell_angle_beta 107.25
_cell_angle_gamma 90.00
loop_
_atom_site_label
_atom_site_fract_x
_atom_site_fract_y
_atom_site_fract_z
Mg1 0.000 0.000 0.000
Cu1 0.000 0.500 0.500
Cu2 0.500 0.000 0.500
Cl1 0.500 0.500 0.000
```



# 3
Entry from the Alexandria database: TlCd10Ga3 after structural relaxation (GGA-PBE).

Values from the calculation:
M_tot (Bohr magnetons per cell): 0.0
E_form (meV/atom): 99

Structure (CIF):
```
data_TlCd10Ga3
_chemical_formula_sum 'Tl8 Cd80 Ga24'
_space_group_name_H-M_alt 'F m -3 m'
_space_group_IT_number 225
_space_group_name_Hall '-F 4 2 3'
_cell_length_a 14.030
_cell_length_b 14.030
_cell_length_c 14.030
_cell_angle_alpha 90.00
_cell_angle_beta 90.00
_cell_angle_gamma 90.00
loop_
_atom_site_label
_atom_site_fract_x
_atom_site_fract_y
_atom_site_fract_z
Tl1 0.250 0.250 0.250
Cd1 0.000 0.172 0.172
Cd2 0.120 0.120 0.380
Ga1 0.000 0.000 0.269
```



# 4
Entry from the Alexandria database: Rb2Na5Pb2 after structural relaxation (GGA-PBE).

Values from the calculation:
M_tot (Bohr magnetons per cell): 0.0
E_form (meV/atom): -39

Structure (CIF):
```
data_Rb2Na5Pb2
_chemical_formula_sum 'Rb4 Na10 Pb4'
_space_group_name_H-M_alt 'C 1 2/m 1'
_space_group_IT_number 12
_space_group_name_Hall '-C 2y'
_cell_length_a 13.605
_cell_length_b 5.668
_cell_length_c 10.163
_cell_angle_alpha 90.00
_cell_angle_beta 112.26
_cell_angle_gamma 90.00
loop_
_atom_site_label
_atom_site_fract_x
_atom_site_fract_y
_atom_site_fract_z
Rb1 0.096 0.000 0.182
Na1 0.000 0.000 0.500
Na2 0.137 0.500 0.478
Na3 0.222 0.000 0.873
Pb1 0.099 0.500 0.770
```



# 5
Entry from the Alexandria database: UAs2P after structural relaxation (GGA-PBE).

Values from the calculation:
M_tot (Bohr magnetons per cell): 1.2
E_form (meV/atom): -391

Structure (CIF):
```
data_UAs2P
_chemical_formula_sum 'U1 As2 P1'
_space_group_name_H-M_alt 'P 4/m m m'
_space_group_IT_number 123
_space_group_name_Hall '-P 4 2'
_cell_length_a 4.027
_cell_length_b 4.027
_cell_length_c 4.541
_cell_angle_alpha 90.00
_cell_angle_beta 90.00
_cell_angle_gamma 90.00
loop_
_atom_site_label
_atom_site_fract_x
_atom_site_fract_y
_atom_site_fract_z
U1 0.000 0.000 0.000
As1 0.000 0.500 0.500
P1 0.500 0.500 0.000
```



# 6
Entry from the Alexandria database: K2MnMo after structural relaxation (GGA-PBE).

Values from the calculation:
Polymorph energy (0 for the lowest one) (meV/atom): 24
M_tot (Bohr magnetons per cell): 2.1
E_form (meV/atom): 832

Structure (CIF):
```
data_K2MnMo
_chemical_formula_sum 'K4 Mn2 Mo2'
_space_group_name_H-M_alt 'I m m m'
_space_group_IT_number 71
_space_group_name_Hall '-I 2 2'
_cell_length_a 3.188
_cell_length_b 3.770
_cell_length_c 20.925
_cell_angle_alpha 90.00
_cell_angle_beta 90.00
_cell_angle_gamma 90.00
loop_
_atom_site_label
_atom_site_fract_x
_atom_site_fract_y
_atom_site_fract_z
K1 0.000 0.000 0.150
Mn1 0.000 0.500 0.500
Mo1 0.000 0.500 0.000
```



# 7
Entry from the Alexandria database: Tm2Sc5Al4 after structural relaxation (GGA-PBE).

Values from the calculation:
M_tot (Bohr magnetons per cell): 0.7
E_form (meV/atom): -181

Structure (CIF):
```
data_Tm2Sc5Al4
_chemical_formula_sum 'Tm2 Sc5 Al4'
_space_group_name_H-M_alt 'P 1 2/m 1'
_space_group_IT_number 10
_space_group_name_Hall '-P 2y'
_cell_length_a 8.034
_cell_length_b 3.096
_cell_length_c 10.015
_cell_angle_alpha 90.00
_cell_angle_beta 100.64
_cell_angle_gamma 90.00
loop_
_atom_site_label
_atom_site_fract_x
_atom_site_fract_y
_atom_site_fract_z
Tm1 0.099 0.000 0.149
Sc1 0.163 0.000 0.658
Sc2 0.477 0.000 0.160
Sc3 0.500 0.000 0.500
Al1 0.171 0.500 0.411
Al2 0.249 0.500 0.931
```



# 8
Entry from the Alexandria database: Mg12Tl7Pb after structural relaxation (GGA-PBE).

Values from the calculation:
M_tot (Bohr magnetons per cell): 0.0
E_form (meV/atom): 167

Structure (CIF):
```
data_Mg12Tl7Pb
_chemical_formula_sum 'Mg24 Tl14 Pb2'
_space_group_name_H-M_alt 'I m -3'
_space_group_IT_number 204
_space_group_name_Hall '-I 2 2 3'
_cell_length_a 10.684
_cell_length_b 10.684
_cell_length_c 10.684
_cell_angle_alpha 90.00
_cell_angle_beta 90.00
_cell_angle_gamma 90.00
loop_
_atom_site_label
_atom_site_fract_x
_atom_site_fract_y
_atom_site_fract_z
Mg1 0.000 0.253 0.154
Tl1 0.000 0.000 0.500
Tl2 0.250 0.250 0.250
Pb1 0.000 0.000 0.000
```



# 9
Entry from the Alexandria database: Cu4Se3Cl after structural relaxation (GGA-PBE).

Values from the calculation:
M_tot (Bohr magnetons per cell): 0.0
ΔE_f (raw) (eV per formula unit): -1.56

Structure (CIF):
```
data_Cu4Se3Cl
_chemical_formula_sum 'Cu8 Se6 Cl2'
_space_group_name_H-M_alt 'P m n 21'
_space_group_IT_number 31
_space_group_name_Hall 'P 2ac -2'
_cell_length_a 7.605
_cell_length_b 6.736
_cell_length_c 6.535
_cell_angle_alpha 90.00
_cell_angle_beta 90.00
_cell_angle_gamma 90.00
loop_
_atom_site_label
_atom_site_fract_x
_atom_site_fract_y
_atom_site_fract_z
Cu1 0.000 0.166 0.000
Cu2 0.000 0.826 0.523
Cu3 0.244 0.665 0.024
Se1 0.000 0.834 0.884
Se2 0.249 0.660 0.385
Cl1 0.000 0.159 0.384
```



# 10
Entry from the Alexandria database: K2Re2Mo after structural relaxation (GGA-PBE).

Values from the calculation:
Polymorph energy (0 for the lowest one) (meV/atom): 0
M_tot (Bohr magnetons per cell): 0.0
E_form (meV/atom): 1143

Structure (CIF):
```
data_K2Re2Mo
_chemical_formula_sum 'K4 Re4 Mo2'
_space_group_name_H-M_alt 'P 4/m b m'
_space_group_IT_number 127
_space_group_name_Hall '-P 4 2ab'
_cell_length_a 6.343
_cell_length_b 6.343
_cell_length_c 6.194
_cell_angle_alpha 90.00
_cell_angle_beta 90.00
_cell_angle_gamma 90.00
loop_
_atom_site_label
_atom_site_fract_x
_atom_site_fract_y
_atom_site_fract_z
K1 0.179 0.321 0.000
Re1 0.133 0.633 0.500
Mo1 0.000 0.000 0.500
```



# 11
Entry from the Alexandria database: BaZrSe2 after structural relaxation (GGA-PBE).

Values from the calculation:
Polymorph energy (0 for the lowest one) (meV/atom): 336
M_tot (Bohr magnetons per cell): 5.6
ΔE_f (raw) (eV per formula unit): -4.48

Structure (CIF):
```
data_BaZrSe2
_chemical_formula_sum 'Ba4 Zr4 Se8'
_space_group_name_H-M_alt 'I -4 2 d'
_space_group_IT_number 122
_space_group_name_Hall 'I -4 2bw'
_cell_length_a 6.621
_cell_length_b 6.621
_cell_length_c 13.537
_cell_angle_alpha 90.00
_cell_angle_beta 90.00
_cell_angle_gamma 90.00
loop_
_atom_site_label
_atom_site_fract_x
_atom_site_fract_y
_atom_site_fract_z
Ba1 0.000 0.000 0.000
Zr1 0.000 0.000 0.500
Se1 0.175 0.250 0.625
```



# 12
Entry from the Alexandria database: Nd6Rh2Se3S after structural relaxation (GGA-PBE).

Values from the calculation:
M_tot (Bohr magnetons per cell): 0.0
ΔE_f (raw) (eV per formula unit): -17.44

Structure (CIF):
```
data_Nd6Rh2Se3S
_chemical_formula_sum 'Nd12 Rh4 Se6 S2'
_space_group_name_H-M_alt 'C 1 2/m 1'
_space_group_IT_number 12
_space_group_name_Hall '-C 2y'
_cell_length_a 18.582
_cell_length_b 4.113
_cell_length_c 8.611
_cell_angle_alpha 90.00
_cell_angle_beta 105.84
_cell_angle_gamma 90.00
loop_
_atom_site_label
_atom_site_fract_x
_atom_site_fract_y
_atom_site_fract_z
Nd1 0.008 0.000 0.247
Nd2 0.167 0.500 0.107
Nd3 0.171 0.500 0.575
Rh1 0.168 0.000 0.338
Se1 0.000 0.500 0.500
Se2 0.161 0.000 0.841
S1 0.000 0.500 0.000
```